i:
# HgSbAsO, relaxed, DFT GGA-PBE
data_HgSbAsO
_symmetry_space_group_name_H-M 'P 1'
_symmetry_Int_Tables_number 1
_cell_length_a 4.744
_cell_length_b 4.744
_cell_length_c 8.606
_cell_angle_alpha 90.00
_cell_angle_beta 90.00
_cell_angle_gamma 90.00
loop_
_symmetry_equiv_pos_as_xyz
'x,y,z'
loop_
_atom_site_label
_atom_site_type_symbol
_atom_site_fract_x
_atom_site_fract_y
_atom_site_fract_z
_atom_site_occupancy
O1 O 0.000 0.000 0.000 1
O2 O 0.500 0.500 0.000 1
As1 As 0.500 0.000 0.664 1
As2 As 0.000 0.500 0.336 1
Sb1 Sb 0.500 0.500 0.500 1
Sb2 Sb 0.000 0.000 0.500 1
Hg1 Hg 0.500 0.000 0.019 1
Hg2 Hg 0.000 0.500 0.981 1
# - Space-group type: P4/nmm

***

ii:
# HgSbAsO, relaxed, DFT GGA-PBE
data_HgSbAsO
_symmetry_space_group_name_H-M 'P 1'
_symmetry_Int_Tables_number 1
_cell_length_a 4.428
_cell_length_b 6.293
_cell_length_c 6.175
_cell_angle_alpha 90.00
_cell_angle_beta 90.00
_cell_angle_gamma 90.00
loop_
_symmetry_equiv_pos_as_xyz
'x,y,z'
loop_
_atom_site_label
_atom_site_type_symbol
_atom_site_fract_x
_atom_site_fract_y
_atom_site_fract_z
_atom_site_occupancy
As1 As 0.000 0.846 0.367 1
As2 As 0.000 0.154 0.867 1
Hg1 Hg 0.500 0.701 0.521 1
Hg2 Hg 0.500 0.299 0.021 1
O1 O 0.500 0.688 0.920 1
O2 O 0.500 0.312 0.420 1
Sb1 Sb 0.000 0.272 0.446 1
Sb2 Sb 0.000 0.728 0.946 1
# - Space-group type: Pmc2_1

***

Most stable structure: ii